(1)
A relaxed structure of Na3PmHg4, computed with PBE. Values from VASP.

Properties
Theoretical density   8.08 g cm⁻³
DOS at the Fermi energy   3.98 states/eV per cell
Energy   -12.26 eV for the cell shown

Quantum ESPRESSO input file:
```
&SYSTEM
  ibrav = 0, nat = 8, ntyp = 3
/
ATOMIC_SPECIES
Na 22.99 Na.upf
Pm 145.00 Pm.upf
Hg 200.59 Hg.upf
CELL_PARAMETERS angstrom
2.645 1.527 8.614
-2.645 1.527 8.614
0.000 -3.055 8.614
ATOMIC_POSITIONS angstrom
Na 0.000 0.000 0.000
Na 0.000 0.000 6.541
Na 0.000 0.000 19.300
Pm 0.000 0.000 12.921
Hg 0.000 0.000 3.312
Hg 0.000 0.000 9.772
Hg 0.000 0.000 16.069
Hg 0.000 0.000 22.529
```



(2)
A relaxed structure of ZrIn2Fe, computed with PBE. Values from VASP.

Properties
Theoretical density   7.74 g cm⁻³
DOS at the Fermi energy   5.25 states/eV per cell
Energy   -44.41 eV for the cell shown

Quantum ESPRESSO input file:
```
&SYSTEM
  ibrav = 0, nat = 8, ntyp = 3
/
ATOMIC_SPECIES
Zr 91.22 Zr.upf
In 114.82 In.upf
Fe 55.84 Fe.upf
CELL_PARAMETERS angstrom
6.074 0.000 0.000
0.000 8.850 0.000
0.000 0.000 3.007
ATOMIC_POSITIONS angstrom
Zr 0.000 0.000 0.000
Zr 3.037 4.425 0.000
In 1.519 2.213 1.503
In 1.519 6.638 1.503
In 4.556 2.213 1.503
In 4.556 6.638 1.503
Fe 0.000 4.425 0.000
Fe 3.037 0.000 0.000
```



(3)
A relaxed structure of SnTe2NCl, computed with PBE. Values from VASP.

Properties
Formation energy (no corrections)   867 meV/atom
Energy relative to the lowest polymorph listed for this composition   0.000 eV per atom
Theoretical density   4.99 g cm⁻³
DOS at the Fermi energy   6.42 states/eV per cell

Quantum ESPRESSO input file:
```
&SYSTEM
  ibrav = 0, nat = 5, ntyp = 4
/
ATOMIC_SPECIES
Sn 118.71 Sn.upf
Te 127.60 Te.upf
N 14.01 N.upf
Cl 35.45 Cl.upf
CELL_PARAMETERS angstrom
6.024 0.000 0.000
0.000 6.024 0.000
0.000 0.000 3.881
ATOMIC_POSITIONS angstrom
Sn 0.000 0.000 0.000
Te 0.000 3.012 0.000
Te 3.012 0.000 0.000
N 0.000 0.000 1.940
Cl 3.012 3.012 1.940
```



(4)
A relaxed structure of GdTmMgBi, computed with PBE. Values from VASP.

Properties
Theoretical density   8.25 g cm⁻³
DOS at the Fermi energy   20.15 states/eV per cell
Energy   -100.84 eV for the cell shown

Quantum ESPRESSO input file:
```
&SYSTEM
  ibrav = 0, nat = 16, ntyp = 4
/
ATOMIC_SPECIES
Gd 157.25 Gd.upf
Tm 168.93 Tm.upf
Mg 24.30 Mg.upf
Bi 208.98 Bi.upf
CELL_PARAMETERS angstrom
7.667 0.000 0.000
0.000 7.667 0.000
0.000 0.000 7.667
ATOMIC_POSITIONS angstrom
Gd 0.000 0.000 0.000
Gd 0.000 3.833 3.833
Gd 3.833 0.000 3.833
Gd 3.833 3.833 0.000
Tm 0.000 0.000 3.833
Tm 0.000 3.833 0.000
Tm 3.833 0.000 0.000
Tm 3.833 3.833 3.833
Mg 1.917 1.917 5.750
Mg 1.917 5.750 1.917
Mg 5.750 1.917 1.917
Mg 5.750 5.750 5.750
Bi 1.917 1.917 1.917
Bi 1.917 5.750 5.750
Bi 5.750 1.917 5.750
Bi 5.750 5.750 1.917
```



(5)
A relaxed structure of Nd4Sm15Dy, computed with PBE. Values from VASP.

Properties
Theoretical density   7.32 g cm⁻³
DOS at the Fermi energy   28.74 states/eV per cell
Energy   -94.14 eV for the cell shown

Quantum ESPRESSO input file:
```
&SYSTEM
  ibrav = 0, nat = 20, ntyp = 3
/
ATOMIC_SPECIES
Nd 144.24 Nd.upf
Sm 150.36 Sm.upf
Dy 162.50 Dy.upf
CELL_PARAMETERS angstrom
5.142 0.000 0.000
0.000 5.142 0.000
0.000 0.000 25.688
ATOMIC_POSITIONS angstrom
Nd 0.000 0.000 2.578
Nd 0.000 0.000 7.730
Nd 0.000 0.000 17.958
Nd 0.000 0.000 23.110
Sm 0.000 2.571 0.000
Sm 0.000 2.571 5.155
Sm 0.000 2.571 10.310
Sm 0.000 2.571 15.378
Sm 0.000 2.571 20.533
Sm 2.571 0.000 0.000
Sm 2.571 0.000 5.155
Sm 2.571 0.000 10.310
Sm 2.571 0.000 15.378
Sm 2.571 0.000 20.533
Sm 2.571 2.571 2.576
Sm 2.571 2.571 7.737
Sm 2.571 2.571 12.844
Sm 2.571 2.571 17.951
Sm 2.571 2.571 23.112
Dy 0.000 0.000 12.844
```



(6)
A relaxed structure of RbSmCuI5, computed with PBE. Values from VASP.

Properties
Formation energy (no corrections)   -1089 meV/atom
Theoretical density   4.32 g cm⁻³
DOS at the Fermi energy   0.00 states/eV per cell

Quantum ESPRESSO input file:
```
&SYSTEM
  ibrav = 0, nat = 16, ntyp = 4
/
ATOMIC_SPECIES
Rb 85.47 Rb.upf
Sm 150.36 Sm.upf
Cu 63.55 Cu.upf
I 126.90 I.upf
CELL_PARAMETERS angstrom
5.095 -6.706 0.000
5.095 6.706 0.000
-4.628 0.000 10.507
ATOMIC_POSITIONS angstrom
Rb 1.624 4.837 7.880
Rb 3.938 -4.837 2.627
Sm 5.095 0.000 0.000
Sm 2.781 0.000 5.254
Cu 3.938 4.149 2.627
Cu 1.624 -4.149 7.880
I -2.369 1.047 9.786
I 2.162 2.755 3.972
I -0.054 -1.047 4.532
I 5.715 2.755 1.281
I 1.624 1.161 7.880
I 3.938 -1.161 2.627
I -0.153 -2.755 9.226
I 5.617 1.047 5.975
I 3.401 -2.755 6.535
I 7.931 -1.047 0.721
```